[1]
{"formula": "ThTiGe2", "functional": "PBE", "state": "relaxed", "formation_energy_mev_per_atom": -571, "lattice_angstrom": [[-3.624, -0.734, 2.230], [-1.864, -3.893, -0.131], [1.109, -3.092, 4.965]], "species": ["Ge", "Ge", "Th", "Ti"], "fractional_positions": [[0.771, 0.771, 0.686], [0.229, 0.229, 0.314], [0.000, 0.000, 0.000], [0.500, 0.500, 0.500]]}

[2]
{"formula": "HoEr9Sc2", "functional": "PBE", "state": "relaxed", "formation_energy_mev_per_atom": 47, "lattice_angstrom": [[-3.381, 0.317, -0.474], [-1.347, -10.550, 2.563], [-0.384, 7.625, 7.836]], "species": ["Ho", "Er", "Er", "Er", "Er", "Er", "Er", "Er", "Er", "Er", "Sc", "Sc"], "fractional_positions": [[0.000, 0.000, 0.000], [0.000, 0.000, 0.500], [0.000, 0.500, 0.500], [0.000, 0.500, 0.000], [0.500, 0.358, 0.179], [0.500, 0.179, 0.821], [0.500, 0.179, 0.358], [0.500, 0.821, 0.642], [0.500, 0.821, 0.179], [0.500, 0.642, 0.821], [0.000, 0.333, 0.667], [0.000, 0.667, 0.333]]}

[3]
{"formula": "PrEr4Al4", "functional": "PBE", "state": "relaxed", "formation_energy_mev_per_atom": -160, "lattice_angstrom": [[5.177, 0.000, 0.000], [0.000, 9.664, 0.000], [0.000, 0.000, 9.664]], "species": ["Pr", "Pr", "Er", "Er", "Er", "Er", "Er", "Er", "Er", "Er", "Al", "Al", "Al", "Al", "Al", "Al", "Al", "Al"], "fractional_positions": [[0.000, 0.000, 0.000], [0.500, 0.500, 0.500], [0.501, 0.396, 0.853], [0.001, 0.647, 0.896], [0.501, 0.604, 0.147], [0.999, 0.104, 0.647], [0.499, 0.853, 0.604], [0.999, 0.896, 0.353], [0.001, 0.353, 0.104], [0.499, 0.147, 0.396], [0.499, 0.920, 0.181], [0.499, 0.080, 0.819], [0.999, 0.681, 0.580], [0.001, 0.420, 0.681], [0.001, 0.580, 0.319], [0.501, 0.181, 0.080], [0.501, 0.819, 0.920], [0.999, 0.319, 0.420]]}

[4]
{"formula": "Ac2Cu5Pd5", "functional": "PBE", "state": "relaxed", "formation_energy_mev_per_atom": -483, "lattice_angstrom": [[-3.394, -1.997, -1.896], [3.253, -2.257, -3.445], [1.069, -7.348, 5.823]], "species": ["Ac", "Ac", "Cu", "Cu", "Cu", "Cu", "Cu", "Pd", "Pd", "Pd", "Pd", "Pd"], "fractional_positions": [[0.000, 0.500, 0.000], [0.000, 0.000, 0.500], [0.500, 0.500, 0.500], [0.500, 0.749, 0.255], [0.500, 0.251, 0.745], [0.500, 0.251, 0.255], [0.500, 0.749, 0.745], [0.000, 0.500, 0.334], [0.000, 0.000, 0.820], [0.000, 0.000, 0.180], [0.000, 0.500, 0.666], [0.500, 0.000, 0.000]]}

[5]
{"formula": "NaTmTeS", "functional": "PBE", "state": "relaxed", "formation_energy_uncorrected_ev_per_atom": -1.486, "lattice_angstrom": [[4.105, -0.001, 0.000], [-2.053, 3.555, -0.003], [-2.051, -1.190, 7.501]], "species": ["Na", "Tm", "Te", "S"], "fractional_positions": [[0.976, 0.387, 0.376], [0.286, 0.541, 0.843], [0.121, 0.959, 0.094], [0.495, 0.145, 0.656]]}

[6]
{"formula": "LiSiIr2", "functional": "PBE", "state": "relaxed", "formation_energy_uncorrected_ev_per_atom": -0.344, "lattice_angstrom": [[8.168, -0.045, -0.027], [7.681, 2.779, -0.027], [7.681, 1.325, 2.443]], "species": ["Ir", "Ir", "Li", "Si"], "fractional_positions": [[0.010, 0.010, 0.010], [0.490, 0.490, 0.490], [0.250, 0.250, 0.250], [0.750, 0.750, 0.750]]}